# LiNiSb2O8 PBE+U relaxed
data_LiNiSb2O8
_chemical_formula_sum 'Li1 Ni1 Sb2 O8'
_cell_length_a 5.512
_cell_length_b 5.512
_cell_length_c 5.768
_cell_angle_alpha 90.00
_cell_angle_beta 90.00
_cell_angle_gamma 120.00
_symmetry_space_group_name_H-M 'P 1'
_symmetry_Int_Tables_number 1
loop_
_symmetry_equiv_pos_as_xyz
'x,y,z'
loop_
_atom_site_label
_atom_site_type_symbol
_atom_site_fract_x
_atom_site_fract_y
_atom_site_fract_z
Li1 Li 0.000 0.000 0.500
Ni1 Ni 0.000 0.000 0.000
Sb1 Sb 0.667 0.333 0.054
Sb2 Sb 0.333 0.667 0.946
O1 O 0.961 0.648 0.840
O2 O 0.352 0.314 0.840
O3 O 0.686 0.039 0.840
O4 O 0.039 0.352 0.160
O5 O 0.648 0.686 0.160
O6 O 0.314 0.961 0.160
O7 O 0.667 0.333 0.411
O8 O 0.333 0.667 0.589
# E_tot   -5.139 eV/atom